Entry 1:
The following is a PBE-GGA calculation of a relaxed Ga2HgBr3 crystal, from the Alexandria database.

Unit cell a=11.089 b=11.089 c=7.045 alpha=118.90 beta=118.91 gamma=98.51
Atoms (fractional coordinates):
Ga1 0.712 0.136 0.287
Br1 0.197 0.803 0.250
Br2 0.167 0.458 0.609
Ga2 0.288 0.864 0.713
Br3 0.833 0.542 0.391
Hg1 0.976 0.024 0.250
Br4 0.803 0.197 0.750
Br5 0.458 0.167 0.109
Br6 0.542 0.833 0.891
Hg2 0.024 0.976 0.750
Ga3 0.864 0.288 0.213
Ga4 0.136 0.712 0.787

Summary:
E_form (uncorrected)   -493 meV per atom
E   -2.3884 eV per atom

Entry 2:
The following is a PBE-GGA calculation of a relaxed GaHgBr2 crystal, from the Alexandria database.

Unit cell a=5.372 b=5.372 c=5.372 alpha=60.00 beta=60.00 gamma=60.00
Atoms (fractional coordinates):
Br1 0.250 0.250 0.250
Br2 0.750 0.750 0.750
Hg1 0.500 0.500 0.500
Ga1 0.000 0.000 0.000

Summary:
E_form (uncorrected)   -227 meV per atom
E   -1.8958 eV per atom

no.,magnetic moment (μB/f.u.)
1,0.00
2,0.00